No. 1
Below is a relaxed LiZrZn2 crystal, with properties calculated at the PBE level.

Cell: 2.9064 2.9064 29.1482 Å, 90.00 90.00 120.00°
Space group R-3m (No. 166, hexagonal axes)
Unique sites:
Li1 0.0000 0.0000 0.0000 (multiplicity 3)
Zr1 0.0000 0.0000 0.5000 (multiplicity 3)
Zn1 0.0000 0.0000 0.2542 (multiplicity 6)

- total magnetization (μB per cell) = 0.000
- ΔE_f (eV per atom) = -0.05
- uncorrected energy (eV per cell) = -39.637

No. 2
Below is a relaxed LiZr4Zn5 crystal, with properties calculated at the PBE level.

Cell: 3.126 3.126 18.290 Å, 90.00 90.00 90.00°
Space group P4/mmm (No. 123)
Unique sites:
Li1 0.000 0.000 0.000 (multiplicity 1)
Zr1 0.000 0.000 0.186 (multiplicity 2)
Zr2 0.000 0.000 0.395 (multiplicity 2)
Zn1 0.500 0.500 0.082 (multiplicity 2)
Zn2 0.500 0.500 0.291 (multiplicity 2)
Zn3 0.500 0.500 0.500 (multiplicity 1)

- total magnetization (μB per cell) = 0.000
- ΔE_f (eV per atom) = -0.23
- uncorrected energy (eV per cell) = -44.785

No. 3
Below is a relaxed Li2ZrZn10 crystal, with properties calculated at the PBE level.

Cell: 5.168 12.088 12.503 Å, 90.00 90.00 90.00°
Space group Fmmm (No. 69)
Unique sites:
Li1 0.250 0.000 0.250 (multiplicity 8)
Zr1 0.000 0.000 0.000 (multiplicity 4)
Zn1 0.000 0.105 0.391 (multiplicity 16)
Zn2 0.000 0.173 0.176 (multiplicity 16)
Zn3 0.250 0.250 0.000 (multiplicity 8)

- total magnetization (μB per cell) = 0.000
- ΔE_f (eV per atom) = -0.14
- uncorrected energy (eV per cell) = -107.550